16
Lattice="-2.393 -4.626 1.016 3.360 -0.829 -9.719 9.868 -4.275 3.776" Properties=species:S:1:pos:R:3 comment="Rb2Tl5Hg (PBE, relaxed)" crystal_system=orthorhombic magmom_total_mub_per_fu=0.0 energy_ev_per_cell=-29.7 space_group="Cmcm, No. 63" formation_energy_ev_per_atom=-0.098 pbc="T T T"
Hg 1.512 -3.733 0.423
Rb 0.000 0.000 0.000
Tl -0.297 -3.372 -2.196
Tl 4.200 -3.585 -6.434
Tl 4.152 -5.299 -0.494
Rb 3.309 -2.292 -2.643
Rb 7.525 -7.437 -2.284
Tl 4.009 -5.933 -3.716
Hg 9.322 -5.997 -5.350
Tl 6.635 -6.144 1.506
Rb 4.934 -2.137 1.888
Tl 9.624 -5.008 -0.140
Tl 6.683 -4.430 -4.433
Tl 11.131 -6.357 -2.731
Tl 6.826 -3.796 -1.211
Tl 1.211 -4.721 -4.787



4
Lattice="5.055 0.000 0.000 2.528 4.378 0.000 2.528 1.459 4.128" Properties=species:S:1:pos:R:3 comment="PrTmZnCu (PBE, relaxed)" crystal_system=cubic magmom_total_mub_per_fu=0.0 energy_ev_per_cell=-15.6 de_polymorph_kj_per_mol_atoms=1.81 space_group="F-43m, No. 216" formation_energy_ev_per_atom=-0.241 pbc="T T T"
Cu 7.583 4.378 3.096
Pr 0.000 0.000 0.000
Tm 5.055 2.919 2.064
Zn 2.528 1.459 1.032



5
Lattice="-0.393 -0.001 -3.629 1.524 -3.313 -0.164 -7.724 -1.675 2.672" Properties=species:S:1:pos:R:3 comment="BaCa2N2 (PBE, relaxed)" e_form_raw_ev_per_fu=-1.81 crystal_system=tetragonal magmom_total_mub_per_fu=0.7 energy_ev_per_cell=-24.4 de_polymorph_kj_per_mol_atoms=0.00 space_group="I4/mmm, No. 139" pbc="T T T"
Ca -2.039 -2.868 -1.614
Ba 0.000 0.000 0.000
N -2.340 -1.089 0.254
Ca -4.555 -2.119 0.494
N -4.254 -3.899 -1.374



18
Lattice="-2.494 -3.259 0.457 3.990 -4.504 1.890 0.584 -1.301 6.144" Properties=species:S:1:pos:R:3 comment="Be2BH6 (PBE, relaxed)" crystal_system=monoclinic magmom_total_mub_per_fu=0.0 energy_ev_per_cell=-66.5 de_polymorph_kj_per_mol_atoms=0.00 space_group="C2/c, No. 15" pbc="T T T"
H 0.901 -6.988 2.356
B 0.762 -2.870 5.257
B 1.319 -6.196 3.233
Be -0.993 -2.704 2.185
H 1.179 -2.077 6.134
H 1.662 -6.206 6.735
H 1.175 -2.373 4.240
Be 3.073 -6.362 6.306
H 3.439 -5.076 5.843
H 1.055 -4.031 5.392
H 1.025 -5.034 3.099
H -0.482 -2.885 5.413
Be 0.939 -1.718 1.101
H 0.419 -2.859 1.756
H 2.562 -6.180 3.078
H -1.359 -3.990 2.648
H 0.905 -6.692 4.250
Be 1.141 -7.348 7.390



Which formula does entry 1 have?
Rb2Tl5Hg